Entry 1:
Material: Dy3Er3Ga4
Method: DFT, PBE-GGA
State: optimized geometry

Geometry as POSCAR:
```
Dy3Er3Ga4
1.0
4.2935 0.0000 0.0000
0.0000 7.6249 -0.0222
0.0000 0.0449 7.6248
Ga Er Dy
4 3 3
Direct
0.0000 0.8806 0.8795
0.0000 0.1205 0.1194
0.0000 0.3787 0.6213
0.0000 0.6200 0.3800
0.5000 0.1747 0.8253
0.0000 0.0002 0.5004
0.0000 0.4996 0.9998
0.5000 0.6745 0.6748
0.5000 0.3252 0.3255
0.5000 0.8259 0.1741
```

Results
Crystal system   orthorhombic
Total magnetization   0.000 μB/cell


Entry 2:
Material: DyErGa
Method: DFT, PBE-GGA
State: optimized geometry

Geometry as POSCAR:
```
DyErGa
1.0
3.6259 0.0000 0.0000
0.0000 4.9481 0.0000
0.0000 -2.4740 4.2852
Ga Dy Er
1 1 1
Direct
0.6489 0.6667 0.3333
0.9429 0.0000 0.0000
0.4082 0.3333 0.6667
```

Results
Crystal system   trigonal
Offset from the most stable computed form   0.120 eV/atom
Total magnetization   0.000 μB/cell


Entry 3:
Material: DyEr2Ga4
Method: DFT, PBE-GGA
State: optimized geometry

Geometry as POSCAR:
```
DyEr2Ga4
1.0
4.0099 0.0000 -0.9142
-0.2186 4.1042 -0.9588
0.0622 0.0583 9.5237
Dy Ga Er
1 4 2
Direct
0.5000 0.0000 0.0000
0.9328 0.4328 0.8655
0.3524 0.3524 0.7049
0.0672 0.5672 0.1345
0.6476 0.6476 0.2951
0.8149 0.8149 0.6297
0.1851 0.1851 0.3703
```

Results
Crystal system   orthorhombic
Total magnetization   0.000 μB/cell


Entry 4:
Material: Dy8ErGa6
Method: DFT, PBE-GGA
State: optimized geometry

Geometry as POSCAR:
```
Dy8ErGa6
1.0
8.6168 0.0000 0.0000
4.3084 7.4623 0.0000
4.3084 2.4874 6.1583
Dy Ga Er
8 6 1
Direct
0.5555 0.2214 0.3346
0.3336 0.3336 0.9993
0.7786 0.1115 0.6654
0.4445 0.7786 0.6654
0.1115 0.4445 0.6654
0.6664 0.6664 0.0007
0.2214 0.8885 0.3346
0.8885 0.5555 0.3346
0.9411 0.2730 0.1768
0.0589 0.7270 0.8232
0.7270 0.3910 0.8232
0.6090 0.9411 0.1768
0.3910 0.0589 0.8232
0.2730 0.6090 0.1768
0.0000 0.0000 0.0000
```

Results
Crystal system   trigonal
Total magnetization   0.000 μB/cell


Entry 5:
Material: Dy5Er2Ga4
Method: DFT, PBE-GGA
State: optimized geometry

Geometry as POSCAR:
```
Dy5Er2Ga4
1.0
4.6628 0.0000 0.0000
0.0000 10.7636 0.0000
-2.3314 -5.3818 6.6482
Ga Dy Er
4 5 2
Direct
0.0000 0.1417 0.0000
0.4066 0.4066 0.8132
0.5934 0.5934 0.1868
0.0000 0.8583 0.0000
0.8490 0.1812 0.6979
0.5000 0.0000 0.0000
0.1510 0.8188 0.3021
0.8490 0.5168 0.6979
0.1510 0.4832 0.3021
0.1955 0.1955 0.3909
0.8045 0.8045 0.6091
```

Results
Crystal system   orthorhombic
Total magnetization   0.000 μB/cell


Entry 6:
Material: DyErGa3
Method: DFT, PBE-GGA
State: optimized geometry

Geometry as POSCAR:
```
DyErGa3
1.0
-0.6117 -3.2163 2.5600
3.9756 0.1822 1.1789
-5.1352 7.9647 8.7795
Ga Dy Er
6 2 2
Direct
0.2500 0.4759 0.9518
0.2500 0.3802 0.7604
0.7500 0.6198 0.2396
0.7500 0.3234 0.6468
0.7500 0.5241 0.0482
0.2500 0.6766 0.3532
0.7500 0.9272 0.8544
0.2500 0.0728 0.1456
0.7500 0.2044 0.4087
0.2500 0.7956 0.5913
```

Results
Crystal system   orthorhombic
Total magnetization   0.001 μB/cell


Entry 7:
Material: DyEr5Ga4
Method: DFT, PBE-GGA
State: optimized geometry

Geometry as POSCAR:
```
DyEr5Ga4
1.0
3.6460 0.0000 0.0000
0.0000 8.6545 0.2292
-1.8230 -1.0262 8.4550
Ga Er Dy
4 5 1
Direct
0.0231 0.2573 0.0463
0.3139 0.9412 0.6277
0.6861 0.0588 0.3723
0.9769 0.7427 0.9537
0.5000 0.5000 0.0000
0.1499 0.7791 0.2998
0.1882 0.3487 0.3764
0.8501 0.2209 0.7002
0.8118 0.6513 0.6236
0.5000 0.0000 0.0000
```

Results
Crystal system   monoclinic
Total magnetization   0.000 μB/cell


Entry 8:
Material: DyErGa
Method: DFT, PBE-GGA
State: optimized geometry

Geometry as POSCAR:
```
DyErGa
1.0
3.4491 0.0000 0.0000
0.0000 3.4491 0.0000
-1.7246 -1.7246 6.5043
Er Ga Dy
1 1 1
Direct
0.2623 0.2623 0.5246
0.6177 0.6177 0.2354
0.9700 0.9700 0.9400
```

Results
Crystal system   tetragonal
Offset from the most stable computed form   0.013 eV/atom
Total magnetization   0.000 μB/cell


Entry 9:
Material: GdDyErGa
Method: DFT, PBE-GGA
State: optimized geometry

Geometry as POSCAR:
```
GdDyErGa
1.0
-2.0922 1.1158 4.7554
-2.7083 -3.7246 2.6512
2.0672 -2.1706 4.3876
Er Dy Ga Gd
1 1 1 1
Direct
0.7500 0.7500 0.7500
0.0000 0.0000 0.0000
0.2500 0.2500 0.2500
0.5000 0.5000 0.5000
```

Results
Crystal system   cubic
Total magnetization   8.252 μB/cell


Entry 10:
Material: DyErGaGe
Method: DFT, PBE-GGA
State: optimized geometry

Geometry as POSCAR:
```
DyErGaGe
1.0
-2.7388 -3.2861 -0.4434
0.2119 -0.7055 3.9195
-2.7591 4.9730 1.0443
Dy Er Ga Ge
1 1 1 1
Direct
0.1397 0.0000 0.2795
0.8604 0.5000 0.7208
0.5799 0.5000 0.1598
0.4199 0.0000 0.8399
```

Results
Crystal system   orthorhombic
Offset from the most stable computed form   0.000 eV/atom
Total magnetization   0.000 μB/cell


Entry 11:
Material: DyErGaGe
Method: DFT, PBE-GGA
State: optimized geometry

Geometry as POSCAR:
```
DyErGaGe
1.0
-0.9089 0.0619 4.9510
-0.7837 -4.3163 2.4694
3.4666 -1.7244 3.2173
Dy Er Ga Ge
1 1 1 1
Direct
0.0000 0.0000 0.0000
0.5000 0.5000 0.5000
0.7500 0.7500 0.7500
0.2500 0.2500 0.2500
```

Results
Crystal system   cubic
Offset from the most stable computed form   0.215 eV/atom
Total magnetization   0.000 μB/cell


Entry 12:
Material: DyErGaHg
Method: DFT, PBE-GGA
State: optimized geometry

Geometry as POSCAR:
```
DyErGaHg
1.0
-4.7641 0.7467 -1.8276
-4.0592 -0.3530 3.1611
-2.6275 4.2408 1.3061
Er Dy Hg Ga
1 1 1 1
Direct
0.5000 0.5000 0.5000
0.0000 0.0000 0.0000
0.7500 0.7500 0.7500
0.2500 0.2500 0.2500
```

Results
Crystal system   cubic
Offset from the most stable computed form   0.022 eV/atom
Total magnetization   0.000 μB/cell


For the records above, the corresponding formation energy values read -0.53, -0.27, -0.63, -0.36, -0.03, -0.63, -0.29, -0.38, -0.11, -0.79, -0.57, -0.51 eV/atom.
For the records above, the corresponding calculated volume values read 24.962, 25.627, 22.457, 26.399, 30.333, 21.995, 26.765, 25.792, 26.524, 23.015, 22.553, 24.244 A^3/atom.